(1)
Entry from Alexandria: a relaxed structure of PuTlZnCd (PBE).

Unit cell a=5.106 b=5.106 c=5.106 alpha=60.00 beta=60.00 gamma=60.00
Fractional positions:
Pu 0.000 0.000 0.000
Tl 0.250 0.250 0.250
Zn 0.750 0.750 0.750
Cd 0.500 0.500 0.500

Output
Energy of formation   -6 meV/atom

(2)
Entry from Alexandria: a relaxed structure of BaHg2Mo (PBE).

Unit cell a=10.324 b=10.324 c=10.324 alpha=149.64 beta=149.64 gamma=43.48
Fractional positions:
Ba 0.000 0.000 0.000
Ba 0.750 0.250 0.500
Hg 0.273 0.625 0.148
Hg 0.375 0.523 0.648
Hg 0.477 0.125 0.852
Hg 0.875 0.727 0.352
Mo 0.250 0.750 0.500
Mo 0.500 0.500 0.000

Output
Energy of formation   627 meV/atom

(3)
Entry from Alexandria: a relaxed structure of YSiP2H (PBE).

Unit cell a=5.312 b=5.312 c=3.885 alpha=90.00 beta=90.00 gamma=90.00
Fractional positions:
Y 0.000 0.000 0.000
Si 0.500 0.500 0.500
P 0.000 0.500 0.000
P 0.500 0.000 0.000
H 0.000 0.000 0.500

no.,final energy (eV per atom)
1,-4.728
2,-2.713
3,-4.665